[1]
Density functional theory data (PBE) for a relaxed structure of NdDyY4.

Structure (POSCAR):
```
NdDyY4
1.0
4.556 0.000 0.000
0.000 4.556 0.000
0.000 0.000 11.121
Nd Dy Y
1 1 4
Cartesian
0.000 0.000 0.000
2.278 2.278 5.561
0.000 2.278 2.818
0.000 2.278 8.303
2.278 0.000 2.818
2.278 0.000 8.303
```

Summary:
The value obtained for the formation energy from the elements is 0.666 eV/atom.


[2]
Density functional theory data (PBE) for a relaxed structure of Nd3DyY.

Structure (POSCAR):
```
Nd3DyY
1.0
3.424 1.977 8.896
-3.424 1.977 8.896
0.000 -3.954 8.896
Nd Dy Y
6 2 2
Cartesian
-0.110 -1.957 11.344
-1.749 -0.883 15.343
-1.640 1.073 11.344
1.640 -1.073 15.343
1.749 0.883 11.344
0.110 1.957 15.343
0.000 0.000 5.217
0.000 0.000 21.470
0.000 0.000 8.387
0.000 0.000 18.300
```

Summary:
The value obtained for the formation energy from the elements is 0.268 eV/atom.


[3]
Density functional theory data (PBE) for a relaxed structure of Nd3Dy2Y2.

Structure (POSCAR):
```
Nd3Dy2Y2
1.0
11.973 0.000 0.000
0.000 3.614 0.000
-1.114 0.000 10.770
Nd Dy Y
6 4 4
Cartesian
0.000 0.000 0.000
1.066 0.000 6.142
3.806 1.807 4.628
5.987 1.807 0.000
7.052 1.807 6.142
9.793 0.000 4.628
0.546 1.807 3.059
4.326 0.000 7.711
6.533 0.000 3.059
10.313 1.807 7.711
1.614 1.807 9.237
3.258 0.000 1.533
7.601 0.000 9.237
9.245 1.807 1.533
```

Summary:
The value obtained for the formation energy from the elements is 0.016 eV/atom.


[4]
Density functional theory data (PBE) for a relaxed structure of Nd2Dy6Y.

Structure (POSCAR):
```
Nd2Dy6Y
1.0
-1.752 5.184 8.130
1.752 -5.184 8.130
1.752 5.184 -8.130
Nd Dy Y
2 6 1
Cartesian
0.000 0.000 2.542
0.000 0.000 13.718
1.752 -1.726 5.245
1.752 1.958 0.000
1.752 1.726 5.245
0.000 3.459 2.885
0.000 3.226 8.130
0.000 6.910 2.885
0.000 5.184 0.000
```

Summary:
The value obtained for the formation energy from the elements is 0.108 eV/atom.


[5]
Density functional theory data (PBE) for a relaxed structure of Nd2Dy5Y6.

Structure (POSCAR):
```
Nd2Dy5Y6
1.0
11.757 0.000 0.000
0.000 20.321 0.000
0.000 0.000 3.594
Nd Dy Y
4 10 12
Cartesian
1.955 4.344 0.000
3.923 14.505 0.000
7.834 5.816 0.000
9.801 15.977 0.000
0.000 10.161 1.797
1.090 15.764 1.797
2.353 1.002 1.797
3.526 11.163 1.797
4.788 5.603 1.797
5.878 0.000 1.797
6.969 14.718 1.797
8.231 9.158 1.797
9.404 19.319 1.797
10.666 4.557 1.797
0.674 18.711 0.000
0.965 12.853 0.000
2.084 7.541 1.797
3.794 17.702 1.797
4.913 2.692 0.000
5.204 8.551 0.000
6.553 11.770 0.000
6.843 17.629 0.000
7.963 2.620 1.797
9.673 12.780 1.797
10.792 7.468 0.000
11.082 1.610 0.000
```

Summary:
The value obtained for the formation energy from the elements is 0.100 eV/atom.


[6]
Density functional theory data (PBE) for a relaxed structure of NdDy2Y.

Structure (POSCAR):
```
NdDy2Y
1.0
8.085 0.000 0.000
0.000 8.085 0.000
0.000 0.000 8.085
Nd Dy Y
4 8 4
Cartesian
0.000 0.000 0.000
0.000 4.042 4.042
4.042 0.000 4.042
4.042 4.042 0.000
2.021 2.021 2.021
2.021 2.021 6.063
2.021 6.063 2.021
2.021 6.063 6.063
6.063 2.021 2.021
6.063 2.021 6.063
6.063 6.063 2.021
6.063 6.063 6.063
0.000 0.000 4.042
0.000 4.042 0.000
4.042 0.000 0.000
4.042 4.042 4.042
```

Summary:
The value obtained for the formation energy from the elements is 0.135 eV/atom.